First-principles (GGA-PBEsol) data for crystalline CdFeSi2Rh at its relaxed geometry, as listed in Alexandria.

Structure (POSCAR):
```
CdFeSi2Rh
1.0
4.445 0.000 0.000
0.000 4.445 0.000
0.000 0.000 5.089
Si Rh Fe Cd
2 1 1 1
direct
0.000 0.500 0.000 Si
0.500 0.000 0.000 Si
0.000 0.000 0.000 Rh
0.500 0.500 0.500 Fe
0.000 0.000 0.500 Cd
```

Size of the total moment = 3.0 Bohr magnetons per cell
Electronic total energy = -26.24 eV per formula unit
Uncorrected formation energy = 711 meV per atom
Symmetry = P4/mmm (123)
Density of states at the Fermi level = 0.99 states/eV per atom